VASP calculation (PBE with a Hubbard U) on KFeBr2O after structural relaxation.

Unit cell a=5.589 b=3.734 c=5.589 alpha=90.00 beta=90.00 gamma=90.00
Each line ends with the local moment (μB).
Fractional coordinates of all 5 atoms:
O 0.000 0.500 0.000  0.38
Fe 0.000 0.000 0.000  4.22
K 0.500 0.500 0.500  0.00
Br 0.500 0.000 0.000  0.12
Br 0.000 0.000 0.500  0.07

## Properties
E	-20.5	eV/f.u.
Fermi-level density of states	0.0000	states/eV/atom